Entry 1:
The following is a DFT calculation (PBE-GGA) of ZnInSnO4 after structural relaxation.

Computed properties:
E_tot = -5.36 eV per atom
distance to the lowest polymorph of the same formula = 0 kJ/mol of formula units

Unit cell a=6.4139 b=6.4139 c=9.0102 alpha=90.00 beta=90.00 gamma=90.00
Space group P4_122 (No. 91)
Unique sites:
Zn: 0.0000 0.2317 0.0000 x4
In: 0.2484 0.2484 0.3750 x4
Sn: 0.2378 0.5000 0.7500 x4
O: 0.0240 0.2544 0.7648 x8
O: 0.2578 0.4725 0.9866 x8

---

Entry 2:
The following is a DFT calculation (PBE-GGA) of Y2TmCo2B2C3 after structural relaxation.

Computed properties:
total moment = 1.4 μB per formula unit
E_tot = -7.60 eV per atom

Unit cell a=3.5292 b=3.5292 c=20.4597 alpha=90.00 beta=90.00 gamma=90.00
Space group I4/mmm (No. 139)
Unique sites:
Y: 0.0000 0.0000 0.1231 x4
Tm: 0.0000 0.0000 0.5000 x2
Co: 0.0000 0.5000 0.2500 x4
B: 0.0000 0.0000 0.3066 x4
C: 0.0000 0.0000 0.0000 x2
C: 0.0000 0.0000 0.3801 x4

---

Entry 3:
The following is a DFT calculation (PBE-GGA) of ZrScSn2 after structural relaxation.

Computed properties:
total moment = 1.4 μB per formula unit
E_tot = -5.70 eV per atom

Unit cell a=7.2342 b=7.2342 c=7.2342 alpha=90.00 beta=90.00 gamma=90.00
Space group F-43m (No. 216)
Unique sites:
Zr: 0.0000 0.0000 0.0000 x4
Sc: 0.2500 0.2500 0.7500 x4
Sn: 0.0000 0.0000 0.5000 x4
Sn: 0.2500 0.2500 0.2500 x4

---

Entry 4:
The following is a DFT calculation (PBE-GGA) of NaNpAuS3 after structural relaxation.

Computed properties:
total moment = 3.0 μB per formula unit
E_tot = -5.95 eV per atom

Unit cell a=4.0543 b=13.3175 c=10.2465 alpha=90.00 beta=90.00 gamma=90.00
Space group Cmcm (No. 63)
Unique sites:
Na: 0.0000 0.2222 0.2500 x4
Np: 0.0000 0.5000 0.0000 x4
Au: 0.0000 0.0899 0.7500 x4
S: 0.0000 0.1329 0.5267 x8
S: 0.0000 0.4391 0.7500 x4

---

Entry 5:
The following is a DFT calculation (PBE-GGA) of CuTcNiGe after structural relaxation.

Computed properties:
total moment = 0.9 μB per formula unit
E_tot = -6.00 eV per atom
distance to the lowest polymorph of the same formula = 0 kJ/mol of formula units

Unit cell a=5.9362 b=5.9362 c=5.9362 alpha=90.00 beta=90.00 gamma=90.00
Space group F-43m (No. 216)
Unique sites:
Cu: 0.0000 0.0000 0.0000 x4
Tc: 0.0000 0.0000 0.5000 x4
Ni: 0.2500 0.2500 0.2500 x4
Ge: 0.2500 0.2500 0.7500 x4

---

Entry 6:
The following is a DFT calculation (PBE-GGA) of RbLuSnTe3 after structural relaxation.

Computed properties:
total moment = 0.0 μB per formula unit
E_tot = -4.01 eV per atom

Unit cell a=4.3152 b=17.4713 c=12.7276 alpha=90.00 beta=90.00 gamma=90.00
Space group Cmcm (No. 63)
Unique sites:
Rb: 0.0000 0.2044 0.2500 x4
Lu: 0.0000 0.5000 0.0000 x4
Sn: 0.0000 0.1088 0.7500 x4
Te: 0.0000 0.1203 0.5040 x8
Te: 0.0000 0.4942 0.7500 x4

---

Entry 7:
The following is a DFT calculation (PBE-GGA) of Na3DySi6O15 after structural relaxation.

Computed properties:
total moment = 0.0 μB per formula unit
E_tot = -7.35 eV per atom

Unit cell a=14.5193 b=17.4366 c=10.4951 alpha=90.00 beta=90.00 gamma=90.00
Space group Cmce (No. 64)
Unique sites:
Na: 0.0000 0.0721 0.2477 x8
Na: 0.2308 0.0000 0.0000 x8
Na: 0.2500 0.2186 0.7500 x8
Dy: 0.2500 0.0929 0.2500 x8
Si: 0.1068 0.1308 0.5210 x16
Si: 0.1068 0.1912 0.0341 x16
Si: 0.1113 0.0820 0.8018 x16
O: 0.0000 0.0816 0.8011 x8
O: 0.0000 0.1007 0.5172 x8
O: 0.0000 0.1626 0.0613 x8
O: 0.1079 0.2212 0.4793 x16
O: 0.1458 0.1242 0.6693 x16
O: 0.1476 0.0036 0.1797 x16
O: 0.1487 0.1385 0.9165 x16
O: 0.1652 0.0812 0.4236 x16
O: 0.1650 0.1830 0.1618 x16

---

Entry 8:
The following is a DFT calculation (PBE-GGA) of Ac3Zn4Si4 after structural relaxation.

Computed properties:
total moment = 0.0 μB per formula unit
E_tot = -4.06 eV per atom

Unit cell a=4.3262 b=4.5165 c=24.8976 alpha=90.00 beta=90.00 gamma=90.00
Space group Immm (No. 71)
Unique sites:
Ac: 0.0000 0.0000 0.0000 x2
Ac: 0.0000 0.5000 0.3524 x4
Zn: 0.0000 0.0000 0.2495 x4
Zn: 0.0000 0.5000 0.0959 x4
Si: 0.0000 0.0000 0.4517 x4
Si: 0.0000 0.5000 0.1951 x4